{"formula": "Re2PBr", "functional": "PBE", "state": "optimized geometry", "e_form_raw_kj_per_mol_atoms": 63, "spacegroup": "P4/mmm, No. 123", "dos_at_fermi_per_ev_atom": 0.8943, "final_energy_ev_per_atom": -7.3447, "polymorph_energy_mev_per_atom": 352.2, "magmom_total_mub_per_cell": 0.00, "lattice_angstrom": [[3.0439, 0.0000, 0.0000], [0.0000, 3.0439, 0.0000], [0.0000, 0.0000, 6.7351]], "species": ["Re", "Re", "P", "Br"], "fractional_positions": [[0.0000, 0.0000, 0.1923], [0.0000, 0.0000, 0.8077], [0.5000, 0.5000, 0.0000], [0.5000, 0.5000, 0.5000]]}